(1)
Material: Er2Ga2Ru5W
Method: DFT, PBE
State: relaxed

The structure in POSCAR format:
```
Er2Ga2Ru5W
1.0
10.093 0.000 0.000
0.000 10.093 0.000
0.000 0.000 3.285
Er Ga Ru W
4 4 10 2
Direct
0.171 0.329 0.000
0.329 0.829 0.000
0.671 0.171 0.000
0.829 0.671 0.000
0.128 0.628 0.000
0.372 0.128 0.000
0.628 0.872 0.000
0.872 0.372 0.000
0.000 0.500 0.500
0.064 0.804 0.500
0.196 0.064 0.500
0.304 0.564 0.500
0.436 0.304 0.500
0.500 0.000 0.500
0.564 0.696 0.500
0.696 0.436 0.500
0.804 0.936 0.500
0.936 0.196 0.500
0.000 0.000 0.000
0.500 0.500 0.000
```

Values from the calculation:
- electronic total energy (eV per cell) = -155.69



(2)
Material: Cu7Au5
Method: DFT, PBE
State: relaxed

The structure in POSCAR format:
```
Cu7Au5
1.0
5.944 -1.888 0.000
5.944 1.888 0.000
-3.848 0.000 7.841
Cu Au
7 5
Direct
0.000 0.000 0.000
0.074 0.074 0.744
0.167 0.167 0.498
0.416 0.416 0.741
0.584 0.584 0.259
0.833 0.833 0.502
0.926 0.926 0.256
0.245 0.245 0.259
0.348 0.348 0.013
0.500 0.500 0.500
0.652 0.652 0.987
0.755 0.755 0.741
```

Values from the calculation:
- electronic total energy (eV per cell) = -45.35



(3)
Material: AcCe2TlIr
Method: DFT, PBE
State: relaxed

The structure in POSCAR format:
```
AcCe2TlIr
1.0
5.397 0.000 0.000
0.000 5.397 0.000
0.000 0.000 6.029
Ac Ce Tl Ir
1 2 1 1
Direct
0.000 0.000 0.000
0.000 0.500 0.491
0.500 0.000 0.491
0.500 0.500 0.046
0.000 0.000 0.502
```

Values from the calculation:
- electronic total energy (eV per cell) = -28.64



(4)
Material: TaMn2Mo
Method: DFT, PBE
State: relaxed

The structure in POSCAR format:
```
TaMn2Mo
1.0
1.455 0.840 7.897
-1.455 0.840 7.897
0.000 -1.680 7.897
Ta Mn Mo
1 2 1
Direct
0.000 0.000 0.000
0.248 0.248 0.248
0.752 0.752 0.752
0.500 0.500 0.500
```

Values from the calculation:
- excess energy over the best structure of this formula in the dataset (eV per atom) = 0.371



Computed DOS(E_F), in the same sequence as the records: 0.62, 0.32, 2.79, 1.19 states/eV/atom.